1.
7
Lattice="-2.026 1.641 -3.184 -1.774 -3.638 -0.746 -3.112 1.005 2.499" Properties=species:S:1:pos:R:3 comment="SiB6 (PBEsol, optimized geometry)" n_ef_per_ev_cell=0.19 formation_energy_uncorrected_ev_per_atom=0.455 crystal_system=cubic pbc="T T T"
B -2.924 0.595 -0.492
B -4.064 -0.004 -1.670
B -3.988 -1.587 -0.939
Si 0.000 0.000 0.000
B -4.389 -0.195 0.034
B -2.848 -0.988 0.239
B -2.523 -0.797 -1.465

2.
4
Lattice="3.222 0.000 0.000 0.000 3.990 -0.049 0.000 -1.914 6.455" Properties=species:S:1:pos:R:3 comment="CdCoCl2 (PBEsol, optimized geometry)" n_ef_per_ev_cell=2.44 e_above_lowest_polymorph_mev_per_atom=45.0 formation_energy_uncorrected_ev_per_atom=-0.278 crystal_system=orthorhombic pbc="T T T"
Cd 1.611 -0.195 4.394
Cl 1.611 1.773 2.094
Cl 0.000 1.821 5.861
Co 0.000 1.792 3.666

3.
4
Lattice="-1.888 -1.321 1.444 -0.342 -1.753 -2.051 4.922 -4.100 2.683" Properties=species:S:1:pos:R:3 comment="CuTc (PBEsol, optimized geometry)" n_ef_per_ev_cell=3.52 e_above_lowest_polymorph_mev_per_atom=100.7 delta_e_f_ev_per_fu=0.41 crystal_system=tetragonal pbc="T T T"
Tc 2.128 -3.220 2.396
Tc 1.679 -2.417 -0.017
Cu 4.205 -4.521 1.359
Cu -0.398 -1.116 1.020

4.
4
Lattice="-2.903 -3.673 0.927 3.583 -3.041 -0.831 0.922 3.552 4.677" Properties=species:S:1:pos:R:3 comment="SrInSb2 (PBEsol, optimized geometry)" n_ef_per_ev_cell=1.86 formation_energy_uncorrected_ev_per_atom=-0.466 crystal_system=tetragonal pbc="T T T"
Sb 2.422 -1.423 1.947
In 0.340 -3.357 0.048
Sr 0.000 0.000 0.000
Sb -0.821 -1.739 2.826

5.
32
Lattice="5.879 0.004 0.000 -1.316 5.730 0.000 0.000 0.000 18.519" Properties=species:S:1:pos:R:3 comment="Er12Ga9Ge11 (PBEsol, optimized geometry)" n_ef_per_ev_cell=9.58 delta_e_f_ev_per_fu=-24.91 crystal_system=orthorhombic pbc="T T T"
Er 0.123 4.605 11.579
Er 4.459 1.154 6.940
Ge 4.698 2.901 13.896
Ga 0.165 0.207 0.000
Ga 3.101 3.896 12.046
Ge 0.193 0.242 9.259
Ge 4.388 5.513 13.895
Ge -0.114 2.852 9.259
Ga 1.483 1.864 7.403
Ga 3.094 3.888 15.748
Er 4.459 1.154 11.579
Ga 1.432 1.800 16.708
Ge 4.388 5.513 4.623
Ge 2.805 0.529 9.259
Ga 1.483 1.864 11.116
Er 0.116 4.575 2.313
Ge 2.795 0.487 0.000
Ge 1.772 5.229 4.622
Er 2.960 3.719 0.000
Er 4.432 1.140 16.205
Er 1.588 1.996 13.904
Er 1.588 1.996 4.615
Ge 1.772 5.229 13.896
Ga 3.101 3.896 6.473
Er 0.116 4.575 16.205
Er 2.993 3.761 9.259
Ge -0.153 2.833 0.000
Er 0.123 4.605 6.940
Er 4.432 1.140 2.313
Ge 4.698 2.901 4.622
Ga 1.432 1.800 1.811
Ga 3.094 3.888 2.770

6.
8
Lattice="-0.392 5.966 3.410 1.140 -5.416 4.093 5.350 -0.332 -4.318" Properties=species:S:1:pos:R:3 comment="CsBTe2 (PBEsol, optimized geometry)" formation_energy_uncorrected_ev_per_atom=-0.162 crystal_system=tetragonal pbc="T T T"
Te 0.887 2.464 4.397
Cs 1.997 -1.161 3.695
Cs 0.000 0.000 0.000
Te 4.802 -2.820 1.632
B 3.245 -2.874 -0.113
Te 3.589 -0.809 -1.156
Te 2.919 1.602 1.496
B 4.102 1.380 -0.511

7.
5
Lattice="5.442 0.000 0.000 0.000 5.442 0.000 0.000 0.000 5.442" Properties=species:S:1:pos:R:3 comment="SrMnAg3 (PBEsol, optimized geometry)" n_ef_per_ev_cell=2.71 delta_e_f_ev_per_fu=7.52 crystal_system=cubic pbc="T T T"
Ag 0.000 0.000 2.721
Ag 0.000 2.721 0.000
Mn 2.721 2.721 2.721
Ag 2.721 0.000 0.000
Sr 0.000 0.000 0.000

8.
4
Lattice="-0.505 -2.567 -0.348 2.540 0.699 0.148 -0.171 -1.022 7.784" Properties=species:S:1:pos:R:3 comment="Co2SiIr (PBEsol, optimized geometry)" n_ef_per_ev_cell=4.86 formation_energy_uncorrected_ev_per_atom=0.095 crystal_system=orthorhombic pbc="T T T"
Co -0.002 -0.013 0.097
Co 0.887 -1.716 5.860
Si 0.978 -1.175 1.735
Ir -0.083 -0.497 3.784

What is the formula in the first record? SiB6